Record 1
The following is a DFT calculation (GGA-PBE) of a geometry-optimized PmPrEr2Se4 structure.

abc: 7.065 4.055 7.364
angles: 90.00 108.47 90.00
Atoms (fractional coordinates):
Pm: 0.000 0.000 0.000
Pr: 0.500 0.500 0.000
Er: 0.000 0.500 0.500
Er: 0.500 0.000 0.500
Se: 0.241 0.000 0.731
Se: 0.254 0.500 0.268
Se: 0.746 0.500 0.732
Se: 0.759 0.000 0.269

Computed properties:
ρ   7.8 g/cm³
DOS(E_F)   0.45 states/eV/atom
DFT total energy   -46.79 eV/cell
Uncorrected formation energy   -14.20 eV/f.u.

---

Record 2
The following is a DFT calculation (GGA-PBE) of a geometry-optimized Th2Tc2NiN6 structure.

abc: 6.149 6.149 6.149
angles: 56.44 56.44 56.44
Atoms (fractional coordinates):
Th: 0.210 0.210 0.210
Th: 0.790 0.790 0.790
Tc: 0.406 0.406 0.406
Tc: 0.594 0.594 0.594
Ni: 0.000 0.000 0.000
N: 0.215 0.761 0.761
N: 0.239 0.239 0.785
N: 0.239 0.785 0.239
N: 0.761 0.215 0.761
N: 0.761 0.761 0.215
N: 0.785 0.239 0.239

Computed properties:
ρ   8.8 g/cm³
DOS(E_F)   0.65 states/eV/atom
DFT total energy   -94.33 eV/cell
Uncorrected formation energy   -3.02 eV/f.u.

---

Record 3
The following is a DFT calculation (GGA-PBE) of a geometry-optimized Pm2ThTe2As2 structure.

abc: 8.776 8.776 8.776
angles: 143.11 143.11 53.16
Atoms (fractional coordinates):
Pm: 0.113 0.113 0.000
Pm: 0.887 0.887 0.000
Th: 0.500 0.500 0.000
Te: 0.305 0.305 0.000
Te: 0.695 0.695 0.000
As: 0.000 0.500 0.500
As: 0.500 0.000 0.500

Computed properties:
ρ   6.4 g/cm³
DOS(E_F)   0.13 states/eV/atom
DFT total energy   -39.23 eV/cell
Uncorrected formation energy   -6.72 eV/f.u.

---

Record 4
The following is a DFT calculation (GGA-PBE) of a geometry-optimized Hf2Zr3Co4 structure.

abc: 7.859 6.406 6.515
angles: 90.00 110.08 90.00
Atoms (fractional coordinates):
Hf: 0.188 0.184 0.064
Hf: 0.188 0.316 0.564
Hf: 0.812 0.684 0.436
Hf: 0.812 0.816 0.936
Zr: 0.228 0.677 0.213
Zr: 0.228 0.823 0.713
Zr: 0.500 0.000 0.500
Zr: 0.500 0.500 0.000
Zr: 0.772 0.177 0.287
Zr: 0.772 0.323 0.787
Co: 0.057 0.533 0.825
Co: 0.057 0.967 0.325
Co: 0.496 0.122 0.873
Co: 0.496 0.378 0.373
Co: 0.504 0.622 0.627
Co: 0.504 0.878 0.127
Co: 0.943 0.033 0.675
Co: 0.943 0.467 0.175

Computed properties:
ρ   9.3 g/cm³
DOS(E_F)   0.98 states/eV/atom
DFT total energy   -152.84 eV/cell

---

Record 5
The following is a DFT calculation (GGA-PBE) of a geometry-optimized Mn2OsPt structure.

abc: 4.043 5.139 5.139
angles: 30.28 90.00 90.00
Atoms (fractional coordinates):
Mn: 0.000 0.000 0.000
Mn: 0.500 0.127 0.127
Os: 0.000 0.729 0.729
Pt: 0.500 0.386 0.386

Computed properties:
ρ   15.3 g/cm³
DOS(E_F)   0.89 states/eV/atom
DFT total energy   -35.71 eV/cell

---

Record 6
The following is a DFT calculation (GGA-PBE) of a geometry-optimized SrReW2 structure.

abc: 3.089 4.875 4.880
angles: 90.00 90.00 90.00
Atoms (fractional coordinates):
Sr: 0.000 0.000 0.000
Re: 0.500 0.000 0.500
W: 0.000 0.500 0.500
W: 0.500 0.500 0.000

Computed properties:
ρ   14.5 g/cm³
DOS(E_F)   1.14 states/eV/atom
Distance to the lowest polymorph of the same formula   0.5496 eV per atom
DFT total energy   -34.85 eV/cell

---

Record 7
The following is a DFT calculation (GGA-PBE) of a geometry-optimized BeTl2Si structure.

abc: 6.152 6.152 6.152
angles: 104.75 104.75 119.40
Atoms (fractional coordinates):
Be: 0.000 0.000 0.000
Be: 0.750 0.250 0.500
Tl: 0.090 0.125 0.465
Tl: 0.375 0.910 0.035
Tl: 0.660 0.625 0.535
Tl: 0.875 0.340 0.965
Si: 0.250 0.750 0.500
Si: 0.500 0.500 0.000

Computed properties:
ρ   8.5 g/cm³
DOS(E_F)   0.58 states/eV/atom
Distance to the lowest polymorph of the same formula   0.5315 eV per atom
DFT total energy   -21.64 eV/cell
Uncorrected formation energy   3.06 eV/f.u.

---

Record 8
The following is a DFT calculation (GGA-PBE) of a geometry-optimized CeGa2Co2Pt structure.

abc: 4.772 4.772 5.246
angles: 90.00 90.00 90.00
Atoms (fractional coordinates):
Ce: 0.000 0.000 0.000
Ga: 0.000 0.500 0.500
Ga: 0.500 0.000 0.500
Co: 0.500 0.500 0.263
Co: 0.500 0.500 0.737
Pt: 0.000 0.000 0.500

Computed properties:
ρ   8.2 g/cm³
DOS(E_F)   1.62 states/eV/atom
DFT total energy   -31.80 eV/cell

---

Record 9
The following is a DFT calculation (GGA-PBE) of a geometry-optimized NaLi3Be structure.

abc: 4.831 4.831 4.831
angles: 90.00 90.00 90.00
Atoms (fractional coordinates):
Na: 0.000 0.000 0.000
Li: 0.000 0.000 0.500
Li: 0.000 0.500 0.000
Li: 0.500 0.000 0.000
Be: 0.500 0.500 0.500

Computed properties:
ρ   0.8 g/cm³
DOS(E_F)   0.49 states/eV/atom
Distance to the lowest polymorph of the same formula   0.5086 eV per atom
DFT total energy   -6.47 eV/cell

---

Record 10
The following is a DFT calculation (GGA-PBE) of a geometry-optimized TbCeBr6 structure.

abc: 7.502 7.502 7.144
angles: 97.81 97.81 123.07
Atoms (fractional coordinates):
Tb: 0.000 0.000 0.000
Ce: 0.500 0.500 0.500
Br: 0.093 0.386 0.243
Br: 0.249 0.249 0.757
Br: 0.386 0.093 0.243
Br: 0.614 0.907 0.757
Br: 0.751 0.751 0.243
Br: 0.907 0.614 0.757

Computed properties:
ρ   4.0 g/cm³
DOS(E_F)   1.02 states/eV/atom
Distance to the lowest polymorph of the same formula   0.0000 eV per atom
DFT total energy   -35.09 eV/cell
Uncorrected formation energy   -14.49 eV/f.u.

---

Record 11
The following is a DFT calculation (GGA-PBE) of a geometry-optimized Tb2NdDySc2 structure.

abc: 6.292 17.516 3.351
angles: 90.00 90.00 90.00
Atoms (fractional coordinates):
Tb: 0.219 0.192 0.000
Tb: 0.281 0.692 0.500
Tb: 0.719 0.308 0.500
Tb: 0.781 0.808 0.000
Nd: 0.000 0.000 0.000
Nd: 0.500 0.500 0.500
Dy: 0.000 0.500 0.000
Dy: 0.500 0.000 0.500
Sc: 0.216 0.355 0.500
Sc: 0.284 0.855 0.000
Sc: 0.716 0.145 0.000
Sc: 0.784 0.645 0.500

Computed properties:
ρ   6.4 g/cm³
DOS(E_F)   1.75 states/eV/atom
DFT total energy   -59.27 eV/cell

---

Record 12
The following is a DFT calculation (GGA-PBE) of a geometry-optimized Zr2PRu structure.

abc: 3.281 3.362 6.482
angles: 90.00 97.92 90.00
Atoms (fractional coordinates):
Zr: 0.042 0.000 0.256
Zr: 0.958 0.000 0.744
P: 0.500 0.500 0.500
Ru: 0.500 0.500 0.000

Computed properties:
ρ   7.4 g/cm³
DOS(E_F)   0.79 states/eV/atom
DFT total energy   -34.54 eV/cell

---

Record 13
The following is a DFT calculation (GGA-PBE) of a geometry-optimized Tl11HgS5 structure.

abc: 9.308 9.308 7.393
angles: 102.27 102.27 111.40
Atoms (fractional coordinates):
Tl: 0.000 0.000 0.000
Tl: 0.154 0.720 0.231
Tl: 0.174 0.410 0.541
Tl: 0.280 0.846 0.769
Tl: 0.358 0.358 0.070
Tl: 0.410 0.174 0.541
Tl: 0.590 0.826 0.459
Tl: 0.642 0.642 0.930
Tl: 0.720 0.154 0.231
Tl: 0.826 0.590 0.459
Tl: 0.846 0.280 0.769
Hg: 0.000 0.000 0.500
S: 0.062 0.369 0.146
S: 0.369 0.062 0.146
S: 0.500 0.500 0.500
S: 0.631 0.938 0.854
S: 0.938 0.631 0.854

Computed properties:
ρ   7.8 g/cm³
DOS(E_F)   0.24 states/eV/atom
DFT total energy   -50.70 eV/cell
Uncorrected formation energy   -3.73 eV/f.u.

---

Record 14
The following is a DFT calculation (GGA-PBE) of a geometry-optimized Li2Ac3UO9 structure.

abc: 5.715 5.715 7.371
angles: 90.00 90.00 120.00
Atoms (fractional coordinates):
Li: 0.333 0.667 0.180
Li: 0.667 0.333 0.820
Ac: 0.000 0.000 0.000
Ac: 0.333 0.667 0.744
Ac: 0.667 0.333 0.256
U: 0.000 0.000 0.500
O: 0.000 0.500 0.000
O: 0.161 0.322 0.322
O: 0.161 0.839 0.322
O: 0.322 0.161 0.678
O: 0.500 0.000 0.000
O: 0.500 0.500 0.000
O: 0.678 0.839 0.322
O: 0.839 0.161 0.678
O: 0.839 0.678 0.678

Computed properties:
ρ   8.6 g/cm³
DOS(E_F)   0.38 states/eV/atom
DFT total energy   -114.65 eV/cell
Uncorrected formation energy   -42.58 eV/f.u.

---

Record 15
The following is a DFT calculation (GGA-PBE) of a geometry-optimized TbSm2Sc5 structure.

abc: 6.740 13.487 4.838
angles: 90.00 90.00 90.00
Atoms (fractional coordinates):
Tb: 0.000 0.000 0.000
Tb: 0.500 0.500 0.000
Sm: 0.239 0.372 0.500
Sm: 0.261 0.872 0.500
Sm: 0.739 0.128 0.500
Sm: 0.761 0.628 0.500
Sc: 0.000 0.500 0.000
Sc: 0.011 0.747 0.000
Sc: 0.243 0.126 0.500
Sc: 0.257 0.626 0.500
Sc: 0.489 0.247 0.000
Sc: 0.500 0.000 0.000
Sc: 0.511 0.753 0.000
Sc: 0.743 0.374 0.500
Sc: 0.757 0.874 0.500
Sc: 0.989 0.253 0.000

Computed properties:
ρ   5.2 g/cm³
DOS(E_F)   1.73 states/eV/atom
DFT total energy   -90.49 eV/cell

---

Record 16
The following is a DFT calculation (GGA-PBE) of a geometry-optimized Er2NpAg3S6 structure.

abc: 7.836 7.836 9.204
angles: 121.90 121.90 36.68
Atoms (fractional coordinates):
Er: 0.168 0.168 0.499
Er: 0.832 0.832 0.501
Np: 0.500 0.500 0.500
Ag: 0.168 0.168 0.999
Ag: 0.500 0.500 0.000
Ag: 0.832 0.832 0.001
S: 0.065 0.065 0.688
S: 0.268 0.268 0.310
S: 0.398 0.398 0.689
S: 0.602 0.602 0.311
S: 0.732 0.732 0.690
S: 0.935 0.935 0.312

Computed properties:
ρ   6.4 g/cm³
DOS(E_F)   0.56 states/eV/atom
DFT total energy   -67.59 eV/cell
Uncorrected formation energy   -12.21 eV/f.u.

---

Record 17
The following is a DFT calculation (GGA-PBE) of a geometry-optimized Re4NiHg structure.

abc: 5.212 5.212 5.212
angles: 60.00 60.00 60.00
Atoms (fractional coordinates):
Re: 0.376 0.376 0.376
Re: 0.376 0.376 0.873
Re: 0.376 0.873 0.376
Re: 0.873 0.376 0.376
Ni: 0.750 0.750 0.750
Hg: 0.000 0.000 0.000

Computed properties:
ρ   16.7 g/cm³
DOS(E_F)   1.27 states/eV/atom
DFT total energy   -50.96 eV/cell

---

Record 18
The following is a DFT calculation (GGA-PBE) of a geometry-optimized Ti5Cr structure.

abc: 7.331 7.331 3.078
angles: 90.00 90.00 144.01
Atoms (fractional coordinates):
Ti: 0.000 0.000 0.000
Ti: 0.180 0.820 0.500
Ti: 0.361 0.639 0.000
Ti: 0.639 0.361 0.000
Ti: 0.820 0.180 0.500
Cr: 0.500 0.500 0.500

Computed properties:
ρ   5.0 g/cm³
DOS(E_F)   1.34 states/eV/atom
DFT total energy   -48.93 eV/cell

---

Record 19
The following is a DFT calculation (GGA-PBE) of a geometry-optimized Pm10Sm4Th structure.

abc: 9.027 9.027 9.027
angles: 101.94 101.94 125.89
Atoms (fractional coordinates):
Pm: 0.004 0.794 0.210
Pm: 0.206 0.415 0.210
Pm: 0.206 0.996 0.790
Pm: 0.250 0.750 0.500
Pm: 0.415 0.206 0.210
Pm: 0.585 0.794 0.790
Pm: 0.750 0.250 0.500
Pm: 0.794 0.004 0.210
Pm: 0.794 0.585 0.790
Pm: 0.996 0.206 0.790
Sm: 0.275 0.275 0.551
Sm: 0.275 0.725 0.000
Sm: 0.725 0.275 0.000
Sm: 0.725 0.725 0.449
Th: 0.500 0.500 0.000

Computed properties:
ρ   7.1 g/cm³
DOS(E_F)   1.35 states/eV/atom
DFT total energy   -70.37 eV/cell

---

Record 20
The following is a DFT calculation (GGA-PBE) of a geometry-optimized ErHgPt structure.

abc: 4.729 4.729 3.332
angles: 90.00 90.00 120.00
Atoms (fractional coordinates):
Er: 0.000 0.000 0.000
Hg: 0.667 0.333 0.500
Pt: 0.333 0.667 0.500

Computed properties:
ρ   14.5 g/cm³
DOS(E_F)   0.76 states/eV/atom
DFT total energy   -12.93 eV/cell